Record 1
Computed, not measured: a relaxed Li3NdAu3 crystal at the PBE level of DFT.

a = 4.618 Å, b = 8.440 Å, c = 8.449 Å
α = 119.99°, β = 90.00°, γ = 90.00°
Positions (direct):
Au (0.750, 0.933, 0.371)
Au (0.750, 0.629, 0.562)
Au (0.250, 0.563, 0.933)
Li (0.750, 0.992, 0.754)
Li (0.750, 0.246, 0.238)
Li (0.250, 0.237, 0.992)
Au (0.750, 0.437, 0.067)
Li (0.250, 0.008, 0.246)
Nd (0.750, 0.334, 0.667)
Nd (0.250, 0.666, 0.333)
Au (0.250, 0.371, 0.438)
Li (0.250, 0.754, 0.762)
Li (0.750, 0.763, 0.008)
Au (0.250, 0.067, 0.629)

total DFT energy (no corrections) = -3.469 eV per atom
space group = P2_1/m (11)
magnetic moment = 0.0 Bohr magnetons per cell
DFT formation energy = -563 meV per atom
N(E_F) = 4.538 states/eV/cell

***

Record 2
Computed, not measured: a relaxed LiNd6Au5 crystal at the PBE level of DFT.

a = 5.206 Å, b = 9.181 Å, c = 9.181 Å
α = 120.42°, β = 106.49°, γ = 106.49°
Positions (direct):
Nd (0.762, 0.262, 0.262)
Nd (0.252, 0.423, 0.082)
Nd (0.252, 0.082, 0.423)
Au (0.000, 0.330, 0.670)
Au (0.500, 0.145, 0.855)
Au (0.000, 0.670, 0.330)
Li (0.000, 0.000, 0.000)
Au (0.500, 0.855, 0.145)
Nd (0.748, 0.577, 0.918)
Nd (0.748, 0.918, 0.577)
Au (0.500, 0.500, 0.500)
Nd (0.238, 0.738, 0.738)

total DFT energy (no corrections) = -4.557 eV per atom
space group = C2/m (12)
magnetic moment = 0.0 Bohr magnetons per cell
DFT formation energy = -648 meV per atom
N(E_F) = 8.823 states/eV/cell

***

Record 3
Computed, not measured: a relaxed Li2NdAu crystal at the PBE level of DFT.

a = 3.395 Å, b = 3.395 Å, c = 7.213 Å
α = 90.00°, β = 90.00°, γ = 90.00°
Positions (direct):
Li (0.000, 0.000, 0.824)
Nd (0.500, 0.500, 0.500)
Au (0.500, 0.500, 0.000)
Li (0.000, 0.000, 0.176)

total DFT energy (no corrections) = -3.203 eV per atom
space group = P4/mmm (123)
magnetic moment = 0.0 Bohr magnetons per cell
DFT formation energy = -235 meV per atom
N(E_F) = 2.286 states/eV/cell